5
Lattice="4.853 0.000 0.000 0.000 4.853 0.000 0.000 0.000 4.853" Properties=species:S:1:pos:R:3 comment="LaTiRh3 | Alexandria | PBE-GGA | optimized geometry" delta_e_f_ev_per_atom=1.057 energy_ev_per_fu=-29.59 pbc="T T T"
Rh 0.000 2.426 0.000
Rh 0.000 0.000 2.426
La 0.000 0.000 0.000
Ti 2.426 2.426 2.426
Rh 2.426 0.000 0.000